1.
Below is an optimized crystal structure of Li4Be3As3BrO12, with properties calculated at the GGA-PBE level.

## Properties
- raw formation energy (eV per atom) = -1.94

Cell: 8.4104 8.4104 8.4104 Å, 90.00 90.00 90.00°
Fractional positions:
Li 0.1782 0.1782 0.1782
Li 0.1782 0.8218 0.8218
Li 0.3218 0.3218 0.6782
Li 0.3218 0.6782 0.3218
Li 0.6782 0.3218 0.3218
Li 0.6782 0.6782 0.6782
Li 0.8218 0.1782 0.8218
Li 0.8218 0.8218 0.1782
Be 0.0000 0.2500 0.5000
Be 0.0000 0.7500 0.5000
Be 0.2500 0.5000 0.0000
Be 0.5000 0.0000 0.2500
Be 0.5000 0.0000 0.7500
Be 0.7500 0.5000 0.0000
As 0.0000 0.5000 0.2500
As 0.0000 0.5000 0.7500
As 0.2500 0.0000 0.5000
As 0.5000 0.2500 0.0000
As 0.5000 0.7500 0.0000
As 0.7500 0.0000 0.5000
Br 0.0000 0.0000 0.0000
Br 0.5000 0.5000 0.5000
O 0.0907 0.3562 0.6367
O 0.0907 0.6438 0.3633
O 0.1367 0.1438 0.4093
O 0.1367 0.8562 0.5907
O 0.1438 0.4093 0.1367
O 0.1438 0.5907 0.8633
O 0.3562 0.3633 0.9093
O 0.3562 0.6367 0.0907
O 0.3633 0.0907 0.6438
O 0.3633 0.9093 0.3562
O 0.4093 0.1367 0.1438
O 0.4093 0.8633 0.8562
O 0.5907 0.1367 0.8562
O 0.5907 0.8633 0.1438
O 0.6367 0.0907 0.3562
O 0.6367 0.9093 0.6438
O 0.6438 0.3633 0.0907
O 0.6438 0.6367 0.9093
O 0.8562 0.4093 0.8633
O 0.8562 0.5907 0.1367
O 0.8633 0.1438 0.5907
O 0.8633 0.8562 0.4093
O 0.9093 0.3562 0.3633
O 0.9093 0.6438 0.6367



2.
Below is an optimized crystal structure of MgBeAsBr2, with properties calculated at the GGA-PBE level.

## Properties
- raw formation energy (eV per atom) = 0.00

Cell: 4.7840 4.7840 4.8710 Å, 90.00 90.00 90.00°
Fractional positions:
Mg 0.0000 0.0000 0.0000
Be 0.5000 0.5000 0.5000
As 0.5000 0.5000 0.0000
Br 0.0000 0.5000 0.5000
Br 0.5000 0.0000 0.5000



3.
Below is an optimized crystal structure of MgBeAsBr2, with properties calculated at the GGA-PBE level.

## Properties
- raw formation energy (eV per atom) = 0.38

Cell: 5.0840 5.0840 5.5531 Å, 90.00 90.00 90.00°
Fractional positions:
Mg 0.0000 0.0000 0.0000
Be 0.5000 0.5000 0.5000
As 0.0000 0.0000 0.5000
Br 0.0000 0.5000 0.0000
Br 0.5000 0.0000 0.0000



4.
Below is an optimized crystal structure of BeMoAs2Br, with properties calculated at the GGA-PBE level.

## Properties
- raw formation energy (eV per atom) = 0.81

Cell: 4.8246 4.8246 5.3862 Å, 90.00 90.00 90.00°
Fractional positions:
Be 0.0000 0.0000 0.0000
Mo 0.5000 0.5000 0.5000
As 0.0000 0.5000 0.5000
As 0.5000 0.0000 0.5000
Br 0.5000 0.5000 0.0000



5.
Below is an optimized crystal structure of BeMoAsBr2, with properties calculated at the GGA-PBE level.

## Properties
- raw formation energy (eV per atom) = 0.76

Cell: 5.2235 5.2235 4.8872 Å, 90.00 90.00 90.00°
Fractional positions:
Be 0.0000 0.0000 0.0000
Mo 0.5000 0.5000 0.5000
As 0.5000 0.5000 0.0000
Br 0.0000 0.5000 0.5000
Br 0.5000 0.0000 0.5000



6.
Below is an optimized crystal structure of BeMoAsBr2, with properties calculated at the GGA-PBE level.

## Properties
- raw formation energy (eV per atom) = 0.75

Cell: 4.6813 4.6813 4.8566 Å, 90.00 90.00 90.00°
Fractional positions:
Be 0.0000 0.0000 0.0000
Mo 0.5000 0.5000 0.5000
As 0.0000 0.0000 0.5000
Br 0.0000 0.5000 0.0000
Br 0.5000 0.0000 0.0000



7.
Below is an optimized crystal structure of BeMoAs2Br, with properties calculated at the GGA-PBE level.

## Properties
- raw formation energy (eV per atom) = 0.84

Cell: 4.4222 4.4222 4.9636 Å, 90.00 90.00 90.00°
Fractional positions:
Be 0.0000 0.0000 0.0000
Mo 0.5000 0.5000 0.5000
As 0.0000 0.5000 0.0000
As 0.5000 0.0000 0.0000
Br 0.0000 0.0000 0.5000



8.
Below is an optimized crystal structure of BeAsBr2N, with properties calculated at the GGA-PBE level.

## Properties
- raw formation energy (eV per atom) = 1.15

Cell: 4.8921 4.8921 4.5812 Å, 90.00 90.00 90.00°
Fractional positions:
Be 0.0000 0.0000 0.0000
As 0.0000 0.0000 0.5000
Br 0.0000 0.5000 0.0000
Br 0.5000 0.0000 0.0000
N 0.5000 0.5000 0.5000



9.
Below is an optimized crystal structure of BeNbAsBr2, with properties calculated at the GGA-PBE level.

## Properties
- raw formation energy (eV per atom) = 0.56

Cell: 4.6277 4.6277 4.7898 Å, 90.00 90.00 90.00°
Fractional positions:
Be 0.0000 0.0000 0.0000
Nb 0.5000 0.5000 0.5000
As 0.0000 0.0000 0.5000
Br 0.0000 0.5000 0.0000
Br 0.5000 0.0000 0.0000



10.
Below is an optimized crystal structure of BeNbAsBr2, with properties calculated at the GGA-PBE level.

## Properties
- raw formation energy (eV per atom) = 0.50

Cell: 5.1698 5.1698 5.1074 Å, 90.00 90.00 90.00°
Fractional positions:
Be 0.0000 0.0000 0.0000
Nb 0.5000 0.5000 0.5000
As 0.5000 0.5000 0.0000
Br 0.0000 0.5000 0.5000
Br 0.5000 0.0000 0.5000



11.
Below is an optimized crystal structure of BeNiAs2Br, with properties calculated at the GGA-PBE level.

## Properties
- raw formation energy (eV per atom) = 0.76

Cell: 4.4092 4.4092 4.8699 Å, 90.00 90.00 90.00°
Fractional positions:
Be 0.0000 0.0000 0.0000
Ni 0.5000 0.5000 0.5000
As 0.0000 0.5000 0.0000
As 0.5000 0.0000 0.0000
Br 0.0000 0.0000 0.5000



12.
Below is an optimized crystal structure of BeNiAs2Br, with properties calculated at the GGA-PBE level.

## Properties
- raw formation energy (eV per atom) = 0.80

Cell: 4.5445 4.5445 5.1486 Å, 90.00 90.00 90.00°
Fractional positions:
Be 0.0000 0.0000 0.0000
Ni 0.5000 0.5000 0.5000
As 0.0000 0.5000 0.5000
As 0.5000 0.0000 0.5000
Br 0.5000 0.5000 0.0000



13.
Below is an optimized crystal structure of BeAsBr2O, with properties calculated at the GGA-PBE level.

## Properties
- raw formation energy (eV per atom) = 0.69

Cell: 4.4605 4.4605 4.9184 Å, 90.00 90.00 90.00°
Fractional positions:
Be 0.0000 0.0000 0.0000
As 0.0000 0.0000 0.5000
Br 0.0000 0.5000 0.0000
Br 0.5000 0.0000 0.0000
O 0.5000 0.5000 0.5000



14.
Below is an optimized crystal structure of BeAsOsBr2, with properties calculated at the GGA-PBE level.

## Properties
- raw formation energy (eV per atom) = 0.99

Cell: 5.2313 5.2313 4.6758 Å, 90.00 90.00 90.00°
Fractional positions:
Be 0.0000 0.0000 0.0000
As 0.5000 0.5000 0.0000
Os 0.5000 0.5000 0.5000
Br 0.0000 0.5000 0.5000
Br 0.5000 0.0000 0.5000



15.
Below is an optimized crystal structure of BeAsOsBr2, with properties calculated at the GGA-PBE level.

## Properties
- raw formation energy (eV per atom) = 1.20

Cell: 4.5039 4.5039 5.1456 Å, 90.00 90.00 90.00°
Fractional positions:
Be 0.0000 0.0000 0.0000
As 0.0000 0.0000 0.5000
Os 0.5000 0.5000 0.5000
Br 0.0000 0.5000 0.0000
Br 0.5000 0.0000 0.0000



16.
Below is an optimized crystal structure of BeAsP2Br, with properties calculated at the GGA-PBE level.

## Properties
- raw formation energy (eV per atom) = 1.81

Cell: 4.8106 4.8106 5.0824 Å, 90.00 90.00 90.00°
Fractional positions:
Be 0.0000 0.0000 0.0000
As 0.5000 0.5000 0.0000
P 0.0000 0.5000 0.5000
P 0.5000 0.0000 0.5000
Br 0.5000 0.5000 0.5000



17.
Below is an optimized crystal structure of BeAsPBr2, with properties calculated at the GGA-PBE level.

## Properties
- raw formation energy (eV per atom) = 0.85

Cell: 5.0191 5.0191 4.9695 Å, 90.00 90.00 90.00°
Fractional positions:
Be 0.0000 0.0000 0.0000
As 0.5000 0.5000 0.0000
P 0.5000 0.5000 0.5000
Br 0.0000 0.5000 0.5000
Br 0.5000 0.0000 0.5000



18.
Below is an optimized crystal structure of BeAsPBr2, with properties calculated at the GGA-PBE level.

## Properties
- raw formation energy (eV per atom) = 0.81

Cell: 5.6721 5.6721 4.1758 Å, 90.00 90.00 90.00°
Fractional positions:
Be 0.0000 0.0000 0.0000
As 0.0000 0.0000 0.5000
P 0.5000 0.5000 0.0000
Br 0.0000 0.5000 0.5000
Br 0.5000 0.0000 0.5000



19.
Below is an optimized crystal structure of BeAsPBr2, with properties calculated at the GGA-PBE level.

## Properties
- raw formation energy (eV per atom) = 0.57

Cell: 4.5442 4.5442 4.9918 Å, 90.00 90.00 90.00°
Fractional positions:
Be 0.0000 0.0000 0.0000
As 0.0000 0.0000 0.5000
P 0.5000 0.5000 0.5000
Br 0.0000 0.5000 0.0000
Br 0.5000 0.0000 0.0000



20.
Below is an optimized crystal structure of BeAsPdBr2, with properties calculated at the GGA-PBE level.

## Properties
- raw formation energy (eV per atom) = 0.69

Cell: 5.1613 5.1613 4.9073 Å, 90.00 90.00 90.00°
Fractional positions:
Be 0.0000 0.0000 0.0000
As 0.5000 0.5000 0.0000
Pd 0.5000 0.5000 0.5000
Br 0.0000 0.5000 0.5000
Br 0.5000 0.0000 0.5000



21.
Below is an optimized crystal structure of BeAsPdBr2, with properties calculated at the GGA-PBE level.

## Properties
- raw formation energy (eV per atom) = 0.41

Cell: 4.7829 4.7829 4.5738 Å, 90.00 90.00 90.00°
Fractional positions:
Be 0.0000 0.0000 0.0000
As 0.0000 0.0000 0.5000
Pd 0.5000 0.5000 0.5000
Br 0.0000 0.5000 0.0000
Br 0.5000 0.0000 0.0000



22.
Below is an optimized crystal structure of BeAs2PtBr, with properties calculated at the GGA-PBE level.

## Properties
- raw formation energy (eV per atom) = 0.92

Cell: 4.8708 4.8708 5.3062 Å, 90.00 90.00 90.00°
Fractional positions:
Be 0.0000 0.0000 0.0000
As 0.0000 0.5000 0.5000
As 0.5000 0.0000 0.5000
Pt 0.5000 0.5000 0.5000
Br 0.5000 0.5000 0.0000



23.
Below is an optimized crystal structure of BeAs2PtBr, with properties calculated at the GGA-PBE level.

## Properties
- raw formation energy (eV per atom) = 0.67

Cell: 4.5025 4.5025 4.5555 Å, 90.00 90.00 90.00°
Fractional positions:
Be 0.0000 0.0000 0.0000
As 0.0000 0.5000 0.0000
As 0.5000 0.0000 0.0000
Pt 0.5000 0.5000 0.5000
Br 0.0000 0.0000 0.5000



24.
Below is an optimized crystal structure of Rb2BeAsBr6, with properties calculated at the GGA-PBE level.

## Properties
- raw formation energy (eV per atom) = -0.89

Cell: 7.6477 7.6477 7.6477 Å, 121.99 121.99 86.59°
Fractional positions:
Rb 0.2500 0.7500 0.5000
Rb 0.7500 0.2500 0.5000
Be 0.0000 0.0000 0.0000
As 0.5000 0.5000 0.0000
Br 0.2279 0.2279 0.4558
Br 0.2279 0.7721 0.0000
Br 0.2618 0.2618 0.0000
Br 0.7382 0.7382 0.0000
Br 0.7721 0.2279 0.0000
Br 0.7721 0.7721 0.5442



25.
Below is an optimized crystal structure of BeAs2RhBr, with properties calculated at the GGA-PBE level.

## Properties
- raw formation energy (eV per atom) = 0.67

Cell: 4.3891 4.3891 4.7418 Å, 90.00 90.00 90.00°
Fractional positions:
Be 0.0000 0.0000 0.0000
As 0.0000 0.5000 0.0000
As 0.5000 0.0000 0.0000
Rh 0.5000 0.5000 0.5000
Br 0.0000 0.0000 0.5000



26.
Below is an optimized crystal structure of BeAs2RhBr, with properties calculated at the GGA-PBE level.

## Properties
- raw formation energy (eV per atom) = 0.79

Cell: 4.7455 4.7455 5.2960 Å, 90.00 90.00 90.00°
Fractional positions:
Be 0.0000 0.0000 0.0000
As 0.0000 0.5000 0.5000
As 0.5000 0.0000 0.5000
Rh 0.5000 0.5000 0.5000
Br 0.5000 0.5000 0.0000



The evaluated calculated volume for the records listed, in turn: 12.933, 22.296, 28.706, 25.075, 26.669, 21.286, 19.413, 21.928, 20.516, 27.301, 18.935, 21.266, 19.571, 25.593, 20.876, 23.523, 25.038, 26.870, 20.616, 26.145, 20.926, 25.178, 18.470, 30.620, 18.269, 23.853 Å³/atom.